A) # ThZr4

A relaxed structure of ThZr4 (GGA-PBE, Alexandria via LeMat-Bulk).

```
ThZr4
1.0
4.334 0.000 1.618
2.167 5.177 0.809
0.356 0.000 5.659
Th Zr
1 4
Cartesian
0.000 0.000 0.000
1.446 1.112 2.740
3.945 3.116 2.659
5.411 4.066 5.346
2.912 2.062 5.427
```

Values from the calculation:
V	24.8	Å³ per atom

=====

B) # ThZr4

A relaxed structure of ThZr4 (GGA-PBE, Alexandria via LeMat-Bulk).

```
ThZr4
1.0
5.248 0.000 0.000
0.000 5.248 0.000
0.000 0.000 5.248
Zr Th
4 1
Cartesian
0.000 0.000 0.000
2.624 0.000 2.624
0.000 2.624 2.624
2.624 2.624 0.000
2.624 2.624 2.624
```

Values from the calculation:
V	28.9	Å³ per atom

=====

Most stable to least stable: A), B)